Entry 1:
The following is a DFT calculation (PBE) of crystalline Hf3NbAs at its relaxed geometry.

## Properties
- ΔE to the lowest computed polymorph: 0 meV/atom
- Total magnetic moment: 0.00 μB/f.u.
- Formation energy: 0.331 eV per atom

Cell: 4.8982 4.8982 4.8982 Å, 90.00 90.00 90.00°
Space group Pm-3m (No. 221)
Asymmetric unit:
Hf 0.0000 0.0000 0.5000 x3
Nb 0.5000 0.5000 0.5000 x1
As 0.0000 0.0000 0.0000 x1

---

Entry 2:
The following is a DFT calculation (PBE) of crystalline Hf3NbAs at its relaxed geometry.

## Properties
- ΔE to the lowest computed polymorph: 672 meV/atom
- Total magnetic moment: 0.00 μB/f.u.
- Formation energy: 1.003 eV per atom

Cell: 5.0426 5.0426 5.0426 Å, 90.00 90.00 90.00°
Space group Pm-3m (No. 221)
Asymmetric unit:
Hf 0.0000 0.0000 0.5000 x3
Nb 0.0000 0.0000 0.0000 x1
As 0.5000 0.5000 0.5000 x1

---

Entry 3:
The following is a DFT calculation (PBE) of crystalline Hf2NbAs at its relaxed geometry.

## Properties
- Total magnetic moment: 0.00 μB/f.u.
- Formation energy: -0.257 eV per atom

Cell: 3.3933 3.3933 24.5847 Å, 90.00 90.00 120.00°
Space group R-3m (No. 166, hexagonal axes)
Asymmetric unit:
Hf 0.0000 0.0000 0.2414 x6
Nb 0.0000 0.0000 0.0000 x3
As 0.0000 0.0000 0.5000 x3

---

Entry 4:
The following is a DFT calculation (PBE) of crystalline HfNb3As at its relaxed geometry.

## Properties
- ΔE to the lowest computed polymorph: 1990 meV/atom
- Total magnetic moment: 0.00 μB/f.u.
- Formation energy: 1.633 eV per atom

Cell: 4.9195 4.9195 4.9195 Å, 90.00 90.00 90.00°
Space group Pm-3m (No. 221)
Asymmetric unit:
Hf 0.0000 0.0000 0.0000 x1
Nb 0.0000 0.0000 0.5000 x3
As 0.5000 0.5000 0.5000 x1

---

Entry 5:
The following is a DFT calculation (PBE) of crystalline HfNbAsSe2 at its relaxed geometry.

## Properties
- Total magnetic moment: 2.35 μB/f.u.
- Formation energy (no corrections): 280 meV/atom

Cell: 5.0609 5.0609 5.1523 Å, 90.00 90.00 90.00°
Space group P4/mmm (No. 123)
Asymmetric unit:
Hf 0.0000 0.0000 0.0000 x1
Nb 0.5000 0.5000 0.5000 x1
As 0.0000 0.0000 0.5000 x1
Se 0.0000 0.5000 0.0000 x2

---

Entry 6:
The following is a DFT calculation (PBE) of crystalline HfNbAs2Se at its relaxed geometry.

## Properties
- ΔE to the lowest computed polymorph: 90 meV/atom
- Total magnetic moment: 2.35 μB/f.u.
- Formation energy (no corrections): 481 meV/atom

Cell: 5.0823 5.0823 5.0564 Å, 90.00 90.00 90.00°
Space group P4/mmm (No. 123)
Asymmetric unit:
Hf 0.0000 0.0000 0.0000 x1
Nb 0.5000 0.5000 0.5000 x1
As 0.0000 0.5000 0.0000 x2
Se 0.0000 0.0000 0.5000 x1

---

Entry 7:
The following is a DFT calculation (PBE) of crystalline HfNbAsSe2 at its relaxed geometry.

## Properties
- Total magnetic moment: 0.94 μB/f.u.
- Formation energy (no corrections): 282 meV/atom

Cell: 4.9336 4.9336 5.0465 Å, 90.00 90.00 90.00°
Space group P4/mmm (No. 123)
Asymmetric unit:
Hf 0.0000 0.0000 0.0000 x1
Nb 0.5000 0.5000 0.5000 x1
As 0.5000 0.5000 0.0000 x1
Se 0.0000 0.5000 0.5000 x2

---

Entry 8:
The following is a DFT calculation (PBE) of crystalline HfNbAs2Se at its relaxed geometry.

## Properties
- ΔE to the lowest computed polymorph: 0 meV/atom
- Total magnetic moment: 0.38 μB/f.u.
- Formation energy (no corrections): 391 meV/atom

Cell: 4.9770 4.9770 4.8972 Å, 90.00 90.00 90.00°
Space group P4/mmm (No. 123)
Asymmetric unit:
Hf 0.0000 0.0000 0.0000 x1
Nb 0.5000 0.5000 0.5000 x1
As 0.0000 0.5000 0.5000 x2
Se 0.5000 0.5000 0.0000 x1

---

Entry 9:
The following is a DFT calculation (PBE) of crystalline NdHf2As4 at its relaxed geometry.

## Properties
- Total magnetic moment: 0.00 μB/f.u.
- Formation energy: -0.923 eV per atom

Cell: 3.9155 12.8243 12.9513 Å, 90.00 90.00 90.00°
Space group Cmcm (No. 63)
Asymmetric unit:
Nd 0.0000 0.1091 0.2500 x4
Hf 0.0000 0.3660 0.0581 x8
As 0.0000 0.0000 0.0000 x4
As 0.0000 0.2626 0.6243 x8
As 0.0000 0.4338 0.2500 x4

---

Entry 10:
The following is a DFT calculation (PBE) of crystalline Nd2HfAs3 at its relaxed geometry.

## Properties
- Total magnetic moment: 0.00 μB/f.u.
- Formation energy: -1.247 eV per atom

Cell: 4.1364 4.1364 17.3643 Å, 90.00 90.00 90.00°
Space group I4/mmm (No. 139)
Asymmetric unit:
Nd 0.0000 0.0000 0.1672 x4
Hf 0.0000 0.0000 0.5000 x2
As 0.0000 0.0000 0.0000 x2
As 0.0000 0.0000 0.3426 x4

---

Entry 11:
The following is a DFT calculation (PBE) of crystalline Pm2NdHfAs4 at its relaxed geometry.

## Properties
- Total magnetic moment: 0.00 μB/f.u.
- Formation energy: -1.368 eV per atom

Cell: 7.1586 4.1303 7.1635 Å, 90.00 109.22 90.00°
Space group P2/m (No. 10)
Asymmetric unit:
Pm 0.0000 0.0000 0.0000 x1
Pm 0.0000 0.5000 0.5000 x1
Nd 0.5000 0.0000 0.5000 x1
Hf 0.5000 0.5000 0.0000 x1
As 0.2588 0.5000 0.2384 x2
As 0.2681 0.0000 0.7694 x2

---

Entry 12:
The following is a DFT calculation (PBE) of crystalline PrNd2HfAs4 at its relaxed geometry.

## Properties
- Total magnetic moment: 0.00 μB/f.u.
- Formation energy: -1.350 eV per atom

Cell: 7.2040 4.1554 7.2095 Å, 90.00 109.20 90.00°
Space group P2/m (No. 10)
Asymmetric unit:
Pr 0.0000 0.0000 0.0000 x1
Nd 0.5000 0.0000 0.5000 x1
Nd 0.5000 0.5000 0.0000 x1
Hf 0.0000 0.5000 0.5000 x1
As 0.2302 0.0000 0.7288 x2
As 0.2402 0.5000 0.2627 x2